A plane-wave DFT calculation with GGA-PBEsol was carried out for a relaxed structure of YZrRe4.

Fermi-level density of states (states/eV per cell): 6.264
Space-group type: No. 216
Formation energy (eV/atom): -0.236

Cell and atoms, written as POSCAR:
```
YZrRe4
1.0
0.000 3.754 3.754
3.754 0.000 3.754
3.754 3.754 0.000
Y Zr Re
1 1 4
Cartesian
0.000 0.000 0.000 Y
1.877 1.877 1.877 Zr
4.690 2.817 2.817 Re
2.817 4.690 2.817 Re
2.817 2.817 4.690 Re
4.690 4.690 4.690 Re
```

***

A plane-wave DFT calculation with GGA-PBEsol was carried out for a relaxed structure of Zn3Re.

Fermi-level density of states (states/eV per cell): 4.318
Energy above the lowest structure with this stoichiometry (meV per atom): 1332.3
Space-group type: No. 221
Formation energy (eV/atom): 1.420

Cell and atoms, written as POSCAR:
```
Zn3Re
1.0
4.849 0.000 0.000
0.000 4.849 0.000
0.000 0.000 4.849
Zn Re
3 1
Cartesian
0.000 0.000 2.425 Zn
0.000 2.425 0.000 Zn
2.425 0.000 0.000 Zn
0.000 0.000 0.000 Re
```

***

A plane-wave DFT calculation with GGA-PBEsol was carried out for a relaxed structure of ZnRe.

Fermi-level density of states (states/eV per cell): 1.734
Energy above the lowest structure with this stoichiometry (meV per atom): 54.1
Space-group type: No. 166
Formation energy (eV/atom): 0.065

Cell and atoms, written as POSCAR:
```
ZnRe
1.0
1.376 0.794 8.800
-1.376 0.794 8.800
0.000 -1.589 8.800
Zn Re
2 2
Cartesian
0.000 0.000 3.287 Zn
0.000 0.000 23.113 Zn
0.000 0.000 9.841 Re
0.000 0.000 16.559 Re
```

***

A plane-wave DFT calculation with GGA-PBEsol was carried out for a relaxed structure of ZnRe.

Fermi-level density of states (states/eV per cell): 1.248
Energy above the lowest structure with this stoichiometry (meV per atom): 223.1
Space-group type: No. 187
Formation energy (eV/atom): 0.234

Cell and atoms, written as POSCAR:
```
ZnRe
1.0
2.717 0.000 0.000
-1.358 2.353 0.000
0.000 0.000 4.416
Zn Re
1 1
Cartesian
0.000 0.000 0.000 Zn
0.000 1.569 2.208 Re
```

***

A plane-wave DFT calculation with GGA-PBEsol was carried out for a relaxed structure of ZnRe2.

Fermi-level density of states (states/eV per cell): 1.331
Space-group type: No. 164
Formation energy (eV/atom): 0.077

Cell and atoms, written as POSCAR:
```
ZnRe2
1.0
2.756 0.000 0.000
-1.378 2.387 0.000
0.000 0.000 6.581
Zn Re
1 2
Cartesian
0.000 0.000 0.000 Zn
0.000 1.591 4.330 Re
1.378 0.796 2.250 Re
```

***

A plane-wave DFT calculation with GGA-PBEsol was carried out for a relaxed structure of ZnRe.

Fermi-level density of states (states/eV per cell): 1.931
Energy above the lowest structure with this stoichiometry (meV per atom): 0.0
Space-group type: No. 164
Formation energy (eV/atom): 0.011

Cell and atoms, written as POSCAR:
```
ZnRe
1.0
2.763 0.000 0.000
-1.382 2.393 0.000
0.000 0.000 8.642
Zn Re
2 2
Cartesian
0.000 1.595 1.065 Zn
1.382 0.798 7.577 Zn
0.000 1.595 5.359 Re
1.382 0.798 3.283 Re
```

***

A plane-wave DFT calculation with GGA-PBEsol was carried out for a relaxed structure of Zn3Re.

Fermi-level density of states (states/eV per cell): 5.166
Energy above the lowest structure with this stoichiometry (meV per atom): 0.0
Space-group type: No. 62
Formation energy (eV/atom): 0.087

Cell and atoms, written as POSCAR:
```
Zn3Re
1.0
4.574 0.000 0.000
0.000 8.823 0.000
0.000 0.000 5.508
Zn Re
12 4
Cartesian
0.512 2.206 0.785 Zn
1.088 0.011 2.121 Zn
1.088 4.401 2.121 Zn
1.199 4.423 4.875 Zn
1.199 8.812 4.875 Zn
1.775 6.617 3.539 Zn
2.799 2.206 1.968 Zn
3.375 0.011 0.633 Zn
3.375 4.401 0.633 Zn
3.486 4.423 3.387 Zn
3.486 8.812 3.387 Zn
4.062 6.617 4.722 Zn
0.587 2.206 3.561 Re
1.700 6.617 0.808 Re
2.874 2.206 4.700 Re
3.987 6.617 1.946 Re
```

***

A plane-wave DFT calculation with GGA-PBEsol was carried out for a relaxed structure of Zn5Re24.

Fermi-level density of states (states/eV per cell): 18.815
Space-group type: No. 217
Formation energy (eV/atom): 0.081

Cell and atoms, written as POSCAR:
```
Zn5Re24
1.0
-4.766 4.766 4.766
4.766 -4.766 4.766
4.766 4.766 -4.766
Zn Re
5 24
Cartesian
0.000 0.000 0.000 Zn
1.583 1.583 -1.583 Zn
1.583 -1.583 1.583 Zn
-1.583 1.583 1.583 Zn
3.182 3.182 3.182 Zn
4.361 1.348 -1.348 Re
4.361 -1.348 1.348 Re
6.799 0.884 -0.884 Re
6.799 -0.884 0.884 Re
2.733 0.884 0.884 Re
3.882 3.882 -2.033 Re
3.882 -2.033 3.882 Re
5.171 1.348 1.348 Re
1.348 4.361 -1.348 Re
1.348 -1.348 4.361 Re
0.884 2.733 0.884 Re
0.884 0.884 2.733 Re
3.418 3.418 0.405 Re
3.418 0.405 3.418 Re
-1.348 4.361 1.348 Re
-1.348 1.348 4.361 Re
0.884 6.799 -0.884 Re
0.884 -0.884 6.799 Re
1.348 5.171 1.348 Re
1.348 1.348 5.171 Re
0.405 3.418 3.418 Re
-0.884 6.799 0.884 Re
-0.884 0.884 6.799 Re
-2.033 3.882 3.882 Re
```

***

A plane-wave DFT calculation with GGA-PBEsol was carried out for a relaxed structure of ZnRe.

Fermi-level density of states (states/eV per cell): 1.517
Energy above the lowest structure with this stoichiometry (meV per atom): 77.6
Space-group type: No. 129
Formation energy (eV/atom): 0.088

Cell and atoms, written as POSCAR:
```
ZnRe
1.0
2.940 0.000 0.000
0.000 2.940 0.000
0.000 0.000 6.615
Zn Re
2 2
Cartesian
0.735 0.735 0.796 Zn
2.205 2.205 5.819 Zn
0.735 0.735 4.052 Re
2.205 2.205 2.563 Re
```

***

A plane-wave DFT calculation with GGA-PBEsol was carried out for a relaxed structure of ZnRe5.

Fermi-level density of states (states/eV per cell): 4.619
Space-group type: No. 38
Formation energy (eV/atom): 0.085

Cell and atoms, written as POSCAR:
```
ZnRe5
1.0
4.390 0.000 0.000
0.000 1.389 7.073
0.000 -1.389 7.073
Zn Re
1 5
Cartesian
0.000 0.000 0.000 Zn
0.000 0.000 4.751 Re
0.000 0.000 9.479 Re
2.195 0.000 1.563 Re
2.195 0.000 6.316 Re
2.195 0.000 11.005 Re
```

***

A plane-wave DFT calculation with GGA-PBEsol was carried out for a relaxed structure of ZnRe.

Fermi-level density of states (states/eV per cell): 2.344
Energy above the lowest structure with this stoichiometry (meV per atom): 225.5
Space-group type: No. 12
Formation energy (eV/atom): 0.236

Cell and atoms, written as POSCAR:
```
ZnRe
1.0
4.409 -1.356 0.000
4.409 1.356 0.000
-0.586 0.000 4.718
Zn Re
2 2
Cartesian
0.849 0.000 1.864 Zn
7.383 0.000 2.854 Zn
3.235 0.000 0.490 Re
4.997 0.000 4.228 Re
```

***

A plane-wave DFT calculation with GGA-PBEsol was carried out for a relaxed structure of ZnRe.

Fermi-level density of states (states/eV per cell): 2.321
Energy above the lowest structure with this stoichiometry (meV per atom): 218.4
Space-group type: No. 59
Formation energy (eV/atom): 0.229

Cell and atoms, written as POSCAR:
```
ZnRe
1.0
2.707 0.000 0.000
0.000 4.395 0.000
0.000 0.000 4.747
Zn Re
2 2
Cartesian
0.677 1.099 0.352 Zn
2.030 3.296 4.395 Zn
0.677 3.296 1.986 Re
2.030 1.099 2.761 Re
```